(1)
Material: SrAsOs4
Method: DFT, PBE-GGA
State: relaxed

Properties
- VASP energy: -7.82 eV per atom

CIF file:
```
data_SrAsOs4
_cell_length_a 5.3472
_cell_length_b 5.3472
_cell_length_c 5.3472
_cell_angle_alpha 60.00
_cell_angle_beta 60.00
_cell_angle_gamma 60.00
_space_group_name_H-M_alt 'P 1'
_space_group_IT_number 1
loop_
_space_group_symop_operation_xyz
'x,y,z'
loop_
_atom_site_label
_atom_site_fract_x
_atom_site_fract_y
_atom_site_fract_z
Os1 0.3741 0.3741 0.3741
Os2 0.3741 0.3741 0.8777
Os3 0.3741 0.8777 0.3741
Sr1 0.7500 0.7500 0.7500
Os4 0.8777 0.3741 0.3741
As1 0.0000 0.0000 0.0000
```

(2)
Material: Ho3Sc2Pd2
Method: DFT, PBE-GGA
State: relaxed

Properties
- VASP energy: -5.75 eV per atom

CIF file:
```
data_Ho3Sc2Pd2
_cell_length_a 3.5823
_cell_length_b 6.3202
_cell_length_c 8.8413
_cell_angle_alpha 115.42
_cell_angle_beta 90.00
_cell_angle_gamma 106.46
_space_group_name_H-M_alt 'P 1'
_space_group_IT_number 1
loop_
_space_group_symop_operation_xyz
'x,y,z'
loop_
_atom_site_label
_atom_site_fract_x
_atom_site_fract_y
_atom_site_fract_z
Sc1 0.1618 0.3236 0.8217
Ho1 0.6099 0.2199 0.4377
Ho2 0.5000 0.0000 0.0000
Pd1 0.8178 0.6356 0.7680
Ho3 0.3901 0.7801 0.5623
Pd2 0.1822 0.3644 0.2320
Sc2 0.8382 0.6764 0.1783
```

(3)
Material: La3Tm2PaP6
Method: DFT, PBE-GGA
State: relaxed

Properties
- VASP energy: -7.02 eV per atom

CIF file:
```
data_La3Tm2PaP6
_cell_length_a 7.0814
_cell_length_b 7.0814
_cell_length_c 7.1593
_cell_angle_alpha 99.47
_cell_angle_beta 99.47
_cell_angle_gamma 120.00
_space_group_name_H-M_alt 'P 1'
_space_group_IT_number 1
loop_
_space_group_symop_operation_xyz
'x,y,z'
loop_
_atom_site_label
_atom_site_fract_x
_atom_site_fract_y
_atom_site_fract_z
P1 0.4052 0.0762 0.2290
Tm1 0.3336 0.6664 0.0000
La1 0.1680 0.8320 0.5000
P2 0.9238 0.5948 0.7710
Pa1 0.0000 0.0000 0.0000
Tm2 0.6664 0.3336 0.0000
P3 0.0762 0.4052 0.2290
La2 0.5000 0.5000 0.5000
P4 0.2523 0.2523 0.7710
La3 0.8320 0.1680 0.5000
P5 0.7477 0.7477 0.2290
P6 0.5948 0.9238 0.7710
```

(4)
Material: U2NiC
Method: DFT, PBE-GGA
State: relaxed

Properties
- VASP energy: -9.18 eV per atom

CIF file:
```
data_U2NiC
_cell_length_a 3.0308
_cell_length_b 3.0308
_cell_length_c 8.2918
_cell_angle_alpha 79.47
_cell_angle_beta 79.47
_cell_angle_gamma 60.00
_space_group_name_H-M_alt 'P 1'
_space_group_IT_number 1
loop_
_space_group_symop_operation_xyz
'x,y,z'
loop_
_atom_site_label
_atom_site_fract_x
_atom_site_fract_y
_atom_site_fract_z
Ni1 0.0000 0.0000 0.0000
C1 0.5000 0.5000 0.5000
U1 0.8972 0.8972 0.3085
U2 0.1028 0.1028 0.6915
```

(5)
Material: Nd5Y2Tm2
Method: DFT, PBE-GGA
State: relaxed

Properties
- Polymorph energy (0 for the lowest one): 0.0 meV/atom
- VASP energy: -5.06 eV per atom

CIF file:
```
data_Nd5Y2Tm2
_cell_length_a 8.0809
_cell_length_b 9.5614
_cell_length_c 9.5562
_cell_angle_alpha 129.89
_cell_angle_beta 53.85
_cell_angle_gamma 147.68
_space_group_name_H-M_alt 'P 1'
_space_group_IT_number 1
loop_
_space_group_symop_operation_xyz
'x,y,z'
loop_
_atom_site_label
_atom_site_fract_x
_atom_site_fract_y
_atom_site_fract_z
Tm1 0.2180 0.4453 0.8904
Nd1 0.6637 0.3335 0.6680
Nd2 0.3363 0.6665 0.3320
Tm2 0.7820 0.5547 0.1096
Nd3 0.1130 0.2220 0.4442
Y1 0.5560 0.1090 0.2182
Y2 0.4440 0.8910 0.7818
Nd4 0.0000 0.0000 0.0000
Nd5 0.8870 0.7780 0.5558
```

(6)
Material: LiPrYBi
Method: DFT, PBE-GGA
State: relaxed

Properties
- VASP energy: -4.62 eV per atom

CIF file:
```
data_LiPrYBi
_cell_length_a 5.4019
_cell_length_b 5.4019
_cell_length_c 5.4019
_cell_angle_alpha 60.00
_cell_angle_beta 60.00
_cell_angle_gamma 60.00
_space_group_name_H-M_alt 'P 1'
_space_group_IT_number 1
loop_
_space_group_symop_operation_xyz
'x,y,z'
loop_
_atom_site_label
_atom_site_fract_x
_atom_site_fract_y
_atom_site_fract_z
Pr1 0.2500 0.2500 0.2500
Li1 0.0000 0.0000 0.0000
Y1 0.7500 0.7500 0.7500
Bi1 0.5000 0.5000 0.5000
```